# 1
Entry from Alexandria: Sm4Dy6Th after structural relaxation (PBE).

Computed properties:
Crystal system   orthorhombic
Space group   No. 63
Energy of formation from the pure elements   146 kJ/mol of formula units

```
Sm4Dy6Th
1.0
2.895 -4.813 0.000
2.895 4.813 0.000
0.000 0.000 25.784
Sm Dy Th
8 12 2
Direct
0.038 0.962 0.622
0.038 0.962 0.878
0.346 0.654 0.543
0.346 0.654 0.957
0.654 0.346 0.043
0.654 0.346 0.457
0.962 0.038 0.122
0.962 0.038 0.378
0.000 0.000 0.000
0.000 0.000 0.500
0.036 0.964 0.750
0.306 0.694 0.103
0.306 0.694 0.397
0.367 0.633 0.683
0.367 0.633 0.817
0.633 0.367 0.183
0.633 0.367 0.317
0.694 0.306 0.603
0.694 0.306 0.897
0.964 0.036 0.250
0.301 0.699 0.250
0.699 0.301 0.750
```

=====

# 2
Entry from Alexandria: La3Dy2Y2 after structural relaxation (PBE).

Computed properties:
Crystal system   monoclinic
Space group   No. 12
Energy of formation from the pure elements   17 kJ/mol of formula units

```
La3Dy2Y2
1.0
6.049 -1.828 0.000
6.049 1.828 0.000
-1.071 0.000 10.776
La Dy Y
3 2 2
Direct
0.000 0.000 0.000
0.142 0.142 0.569
0.858 0.858 0.431
0.426 0.426 0.717
0.574 0.574 0.283
0.285 0.285 0.141
0.715 0.715 0.859
```

=====

# 3
Entry from Alexandria: NdTm2Ta after structural relaxation (PBE).

Computed properties:
Crystal system   trigonal
Space group   No. 166
Energy of formation from the pure elements   234 kJ/mol of formula units

```
NdTm2Ta
1.0
1.635 0.944 11.753
-1.635 0.944 11.753
0.000 -1.888 11.753
Nd Tm Ta
1 2 1
Direct
0.000 0.000 0.000
0.418 0.418 0.418
0.582 0.582 0.582
0.500 0.500 0.500
```

=====

# 4
Entry from Alexandria: Nd3AgAu after structural relaxation (PBE).

Computed properties:
Crystal system   monoclinic
Space group   No. 14
Energy of formation from the pure elements   -168 kJ/mol of formula units

```
Nd3AgAu
1.0
7.273 0.000 0.000
0.000 7.589 0.000
-0.849 0.000 10.373
Nd Ag Au
12 4 4
Direct
0.164 0.132 0.398
0.164 0.368 0.898
0.234 0.530 0.588
0.234 0.970 0.088
0.323 0.526 0.228
0.323 0.974 0.728
0.677 0.026 0.272
0.677 0.474 0.772
0.766 0.030 0.912
0.766 0.470 0.412
0.836 0.632 0.102
0.836 0.868 0.602
0.450 0.690 0.953
0.450 0.810 0.453
0.550 0.190 0.547
0.550 0.310 0.047
0.046 0.742 0.862
0.046 0.758 0.362
0.954 0.242 0.638
0.954 0.258 0.138
```

=====

Q: Which value of energy of formation from the pure elements does entry 4 give?
A: -168 kJ/mol of formula units